Record 1
The following is a DFT calculation (PBE) of a relaxed PmMnGe2Rh crystal.

a b c (Å): 4.1159 4.1159 6.0931
angles (deg): 109.74 109.74 90.00
Closest atoms and distances in Å follow each position.
Positions (direct):
Pm 0.0000 0.0000 0.0000  8 Ge 3.18, 4 Mn 3.38, 4 Rh 3.38
Ge 0.6190 0.6190 0.2379  2 Mn 2.49, 2 Rh 2.49, 1 Ge 2.55
Ge 0.3810 0.3810 0.7621  2 Mn 2.49, 2 Rh 2.49, 1 Ge 2.55
Rh 0.2500 0.7500 0.5000  4 Ge 2.49
Mn 0.7500 0.2500 0.5000  4 Ge 2.49

Results
Total magnetic moment: 0.6508 μB per atom
Calculated formation energy: -0.6870 eV/atom



Record 2
The following is a DFT calculation (PBE) of a relaxed Pm2MnGe6Ru crystal.

a b c (Å): 7.6197 7.6197 9.7552
angles (deg): 67.01 67.01 60.00
Closest atoms and distances in Å follow each position.
Positions (direct):
Ge 0.7981 0.7981 0.1354  1 Mn 2.38, 1 Ru 2.38
Ge 0.7981 0.2683 0.1354  1 Mn 2.38, 1 Ru 2.38
Ge 0.3837 0.8660 0.3666  1 Mn 2.42, 1 Ru 2.60
Ge 0.8660 0.3837 0.3666  1 Mn 2.42, 1 Ru 2.60
Ge 0.2683 0.7981 0.1354  1 Mn 2.38, 1 Ru 2.38
Ge 0.2019 0.7317 0.8646  1 Mn 2.38, 1 Ru 2.38
Ge 0.6163 0.1340 0.6334  1 Mn 2.42, 1 Ru 2.60
Ge 0.1340 0.6163 0.6334  1 Mn 2.42, 1 Ru 2.60
Ge 0.2019 0.2019 0.8646  1 Mn 2.38, 1 Ru 2.38
Ge 0.3837 0.3837 0.3666  1 Mn 2.42, 1 Ru 2.60
Ge 0.6163 0.6163 0.6334  1 Mn 2.42, 1 Ru 2.60
Ge 0.7317 0.2019 0.8646  1 Mn 2.38, 1 Ru 2.38
Pm 0.1318 0.1318 0.6046  6 Ge 3.07-3.08
Pm 0.8682 0.8682 0.3954  6 Ge 3.07-3.08
Pm 0.7169 0.7169 0.8494  3 Ge 2.95, 1 Ru 2.99
Pm 0.2831 0.2831 0.1506  3 Ge 2.95, 1 Ru 2.99
Ru 0.3978 0.3978 0.8067  6 Ge 2.38-2.60, 1 Mn 2.67
Ru 0.6022 0.6022 0.1933  6 Ge 2.38-2.60, 1 Mn 2.67
Mn 0.5000 0.5000 0.5000  6 Ge 2.42, 2 Ru 2.67
Mn 0.0000 0.0000 0.0000  6 Ge 2.38

Results
Total magnetic moment: 0.1961 μB per atom
Calculated formation energy: -0.1982 eV/atom



Record 3
The following is a DFT calculation (PBE) of a relaxed PmTaMnGe2 crystal.

a b c (Å): 4.0174 4.0174 6.5438
angles (deg): 107.88 107.88 90.00
Closest atoms and distances in Å follow each position.
Positions (direct):
Ge 0.6106 0.6106 0.2211  2 Mn 2.60, 2 Ta 2.60, 1 Ge 2.61
Ge 0.3894 0.3894 0.7789  2 Ta 2.60, 2 Mn 2.60, 1 Ge 2.61
Pm 0.0000 0.0000 0.0000  8 Ge 3.13
Ta 0.2500 0.7500 0.5000  4 Ge 2.60, 4 Mn 2.84
Mn 0.7500 0.2500 0.5000  4 Ge 2.60, 4 Ta 2.84

Results
Total magnetic moment: 0.3581 μB per atom
Calculated formation energy: -0.4421 eV/atom



Record 4
The following is a DFT calculation (PBE) of a relaxed Pm2MnTcGe6 crystal.

a b c (Å): 7.5315 7.5315 9.8928
angles (deg): 67.63 67.63 60.00
Closest atoms and distances in Å follow each position.
Positions (direct):
Pm 0.1285 0.1285 0.6146  6 Ge 3.04-3.16
Pm 0.2795 0.2795 0.1616  3 Ge 2.92, 1 Tc 3.23
Pm 0.8715 0.8715 0.3854  6 Ge 3.04-3.16
Pm 0.7205 0.7205 0.8384  3 Ge 2.92, 1 Tc 3.23
Ge 0.3759 0.8699 0.3782  1 Mn 2.41, 1 Tc 2.66
Ge 0.8006 0.8006 0.1188  1 Mn 2.34, 1 Tc 2.38
Ge 0.7199 0.1994 0.8812  1 Mn 2.34, 1 Tc 2.38
Ge 0.1994 0.1994 0.8812  1 Mn 2.34, 1 Tc 2.38
Ge 0.6241 0.6241 0.6218  1 Mn 2.41, 1 Tc 2.66
Ge 0.8699 0.3759 0.3782  1 Mn 2.41, 1 Tc 2.66
Ge 0.6241 0.1301 0.6218  1 Mn 2.41, 1 Tc 2.66
Ge 0.3759 0.3759 0.3782  1 Mn 2.41, 1 Tc 2.66
Ge 0.1301 0.6241 0.6218  1 Mn 2.41, 1 Tc 2.66
Ge 0.1994 0.7199 0.8812  1 Mn 2.34, 1 Tc 2.38
Ge 0.8006 0.2801 0.1188  1 Mn 2.34, 1 Tc 2.38
Ge 0.2801 0.8006 0.1188  1 Mn 2.34, 1 Tc 2.38
Tc 0.5995 0.5995 0.2014  6 Ge 2.38-2.66, 1 Mn 2.65
Tc 0.4005 0.4005 0.7986  6 Ge 2.38-2.66, 1 Mn 2.65
Mn 0.0000 0.0000 0.0000  6 Ge 2.34
Mn 0.5000 0.5000 0.5000  6 Ge 2.41, 2 Tc 2.65

Results
Total magnetic moment: 0.0946 μB per atom
Calculated formation energy: -0.1727 eV/atom



Record 5
The following is a DFT calculation (PBE) of a relaxed PmMnVGe2 crystal.

a b c (Å): 4.0367 4.0367 6.2580
angles (deg): 108.82 108.82 90.00
Closest atoms and distances in Å follow each position.
Positions (direct):
Pm 0.0000 0.0000 0.0000  8 Ge 3.13, 4 V 3.44, 4 Mn 3.44
Mn 0.2500 0.7500 0.5000  4 Ge 2.51
Ge 0.3839 0.3839 0.7678  2 Mn 2.51, 2 V 2.51, 1 Ge 2.59
Ge 0.6161 0.6161 0.2322  2 Mn 2.51, 2 V 2.51, 1 Ge 2.59
V 0.7500 0.2500 0.5000  4 Ge 2.51

Results
Total magnetic moment: 0.1665 μB per atom
Calculated formation energy: -0.4874 eV/atom



Record 6
The following is a DFT calculation (PBE) of a relaxed Pm2MnZnGe6 crystal.

a b c (Å): 6.1893 6.1893 13.0703
angles (deg): 76.30 76.30 60.00
Closest atoms and distances in Å follow each position.
Positions (direct):
Ge 0.7731 0.3202 0.1337  1 Zn 2.57, 1 Mn 2.58, 2 Ge 2.80
Ge 0.7731 0.7731 0.1337  1 Zn 2.57, 1 Mn 2.58, 2 Ge 2.80
Ge 0.6798 0.2269 0.8663  1 Zn 2.57, 1 Mn 2.58, 2 Ge 2.80
Ge 0.9277 0.3304 0.4116  1 Mn 2.41, 2 Ge 2.49, 1 Zn 2.61
Ge 0.2269 0.2269 0.8663  1 Zn 2.57, 1 Mn 2.58, 2 Ge 2.80
Ge 0.3202 0.7731 0.1337  1 Zn 2.57, 1 Mn 2.58, 2 Ge 2.80
Ge 0.2269 0.6798 0.8663  1 Zn 2.57, 1 Mn 2.58, 2 Ge 2.80
Ge 0.6696 0.6696 0.5884  1 Mn 2.41, 2 Ge 2.49, 1 Zn 2.61
Ge 0.3304 0.9277 0.4116  1 Mn 2.41, 2 Ge 2.49, 1 Zn 2.61
Ge 0.6696 0.0723 0.5884  1 Mn 2.41, 2 Ge 2.49, 1 Zn 2.61
Ge 0.3304 0.3304 0.4116  1 Mn 2.41, 2 Ge 2.49, 1 Zn 2.61
Ge 0.0723 0.6696 0.5884  1 Mn 2.41, 2 Ge 2.49, 1 Zn 2.61
Pm 0.6927 0.6927 0.9219  9 Ge 3.12-3.18
Pm 0.1106 0.1106 0.6683  12 Ge 3.17-3.53
Pm 0.3073 0.3073 0.0781  9 Ge 3.12-3.18
Pm 0.8894 0.8894 0.3317  12 Ge 3.17-3.53
Mn 0.5000 0.5000 0.5000  6 Ge 2.41, 2 Zn 2.61
Mn 0.0000 0.0000 0.0000  6 Ge 2.58
Zn 0.4307 0.4307 0.7079  6 Ge 2.57-2.61, 1 Mn 2.61
Zn 0.5693 0.5693 0.2921  6 Ge 2.57-2.61, 1 Mn 2.61

Results
Total magnetic moment: 0.2289 μB per atom
Calculated formation energy: -0.2408 eV/atom



Record 7
The following is a DFT calculation (PBE) of a relaxed Pr2Mn3Ge4 crystal.

a b c (Å): 5.7977 7.6398 8.2491
angles (deg): 90.00 110.57 90.00
Closest atoms and distances in Å follow each position.
Positions (direct):
Pr 0.3890 0.0924 0.7780  8 Ge 3.09-3.22, 6 Mn 3.29-3.44
Pr 0.8890 0.4076 0.7780  8 Ge 3.09-3.22, 6 Mn 3.29-3.44
Pr 0.6110 0.9076 0.2220  8 Ge 3.09-3.22, 6 Mn 3.29-3.44
Pr 0.1110 0.5924 0.2220  8 Ge 3.09-3.22, 6 Mn 3.29-3.44
Ge 0.8025 0.2500 0.1050  3 Mn 2.50-2.53
Ge 0.6901 0.5360 0.3802  5 Mn 2.63-2.95
Ge 0.3099 0.4640 0.6198  5 Mn 2.63-2.95
Ge 0.3025 0.2500 0.1050  3 Mn 2.50-2.53
Ge 0.8099 0.0360 0.6198  5 Mn 2.63-2.95
Ge 0.6975 0.7500 0.8950  3 Mn 2.50-2.53
Ge 0.1975 0.7500 0.8950  3 Mn 2.50-2.53
Ge 0.1901 0.9640 0.3802  5 Mn 2.63-2.95
Mn 0.4646 0.2500 0.4293  5 Ge 2.50-2.65
Mn 0.9646 0.2500 0.4293  5 Ge 2.50-2.65
Mn 0.5354 0.7500 0.5707  5 Ge 2.50-2.65
Mn 0.5000 0.5000 0.0000  4 Ge 2.53
Mn 0.0000 0.0000 0.0000  4 Ge 2.53
Mn 0.0354 0.7500 0.5707  5 Ge 2.50-2.65

Results
Total magnetic moment: 1.0276 μB per atom
Calculated formation energy: -0.3943 eV/atom



Record 8
The following is a DFT calculation (PBE) of a relaxed PrMnGe crystal.

a b c (Å): 4.1821 4.1821 8.1030
angles (deg): 104.95 104.95 90.00
Closest atoms and distances in Å follow each position.
Positions (direct):
Mn 0.5000 0.0000 0.0000  4 Ge 2.64, 4 Mn 2.96
Mn 0.0000 0.5000 0.0000  4 Ge 2.64, 4 Mn 2.96
Ge 0.8930 0.8930 0.7861  4 Mn 2.64
Ge 0.1070 0.1070 0.2139  4 Mn 2.64
Pr 0.3340 0.3340 0.6680  5 Ge 3.09-3.43, 4 Mn 3.26
Pr 0.6660 0.6660 0.3320  5 Ge 3.09-3.43, 4 Mn 3.26

Results
Total magnetic moment: 1.0050 μB per atom
Calculated formation energy: -0.4086 eV/atom



Record 9
The following is a DFT calculation (PBE) of a relaxed PrMnGe crystal.

a b c (Å): 4.0709 4.0747 8.5603
angles (deg): 90.00 118.34 90.00
Closest atoms and distances in Å follow each position.
Positions (direct):
Mn 0.2541 0.2478 0.5019  4 Ge 2.51
Mn 0.7537 0.7478 0.5014  4 Ge 2.51
Pr 0.9255 0.7477 0.1727  4 Ge 3.05, 4 Mn 3.21
Pr 0.0822 0.2477 0.8306  4 Ge 3.05, 4 Mn 3.21
Ge 0.5586 0.2477 0.3060  4 Mn 2.51
Ge 0.4491 0.7477 0.6972  4 Mn 2.51

Results
Total magnetic moment: 0.6166 μB per atom
Calculated formation energy: -0.4415 eV/atom



Record 10
The following is a DFT calculation (PBE) of a relaxed Pr2MnGe3Pt4 crystal.

a b c (Å): 4.3712 4.3712 10.2109
angles (deg): 90.00 90.00 90.00
Closest atoms and distances in Å follow each position.
Positions (direct):
Ge 0.0000 0.0000 0.5000  4 Pt 2.56
Ge 0.5000 0.0000 0.8710  5 Pt 2.45-2.55
Ge 0.0000 0.5000 0.1290  5 Pt 2.45-2.55
Mn 0.5000 0.5000 0.5000  4 Pt 2.56
Pr 0.5000 0.0000 0.2527  8 Pt 3.31-3.38, 6 Ge 3.34, 2 Mn 3.34
Pr 0.0000 0.5000 0.7473  8 Pt 3.31-3.38, 6 Ge 3.34, 2 Mn 3.34
Pt 0.5000 0.0000 0.6314  3 Ge 2.45-2.56, 2 Mn 2.56
Pt 0.0000 0.5000 0.3686  3 Ge 2.45-2.56, 2 Mn 2.56
Pt 0.5000 0.5000 0.0000  4 Ge 2.55
Pt 0.0000 0.0000 0.0000  4 Ge 2.55

Results
Total magnetic moment: 0.3913 μB per atom
Calculated formation energy: -0.8482 eV/atom



Record 11
The following is a DFT calculation (PBE) of a relaxed Pr2MnGe4Pt3 crystal.

a b c (Å): 4.3084 4.3084 10.4584
angles (deg): 90.00 90.00 90.00
Closest atoms and distances in Å follow each position.
Positions (direct):
Pr 0.0000 0.5000 0.7513  8 Ge 3.29-3.38, 6 Pt 3.30-3.40, 2 Mn 3.40
Pr 0.5000 0.0000 0.2487  8 Ge 3.29-3.38, 6 Pt 3.30-3.40, 2 Mn 3.40
Ge 0.0000 0.0000 0.0000  4 Pt 2.53
Ge 0.5000 0.5000 0.0000  4 Pt 2.53
Ge 0.5000 0.0000 0.6330  3 Pt 2.51-2.56, 2 Mn 2.56
Ge 0.0000 0.5000 0.3670  3 Pt 2.51-2.56, 2 Mn 2.56
Pt 0.5000 0.0000 0.8731  5 Ge 2.51-2.53
Pt 0.0000 0.5000 0.1269  5 Ge 2.51-2.53
Pt 0.0000 0.0000 0.5000  4 Ge 2.56
Mn 0.5000 0.5000 0.5000  4 Ge 2.56

Results
Total magnetic moment: 0.3351 μB per atom
Calculated formation energy: -0.8300 eV/atom



> Among the records above, which one has the lowest total magnetic moment?

Pm2MnTcGe6